# 1
Material: TmZnSnRu
Method: DFT, GGA-PBE
State: optimized geometry

Values from the calculation:
magnetic moment = 0.00 μB/f.u.
DFT total energy = -5.022 eV per atom

Lattice parameters (Å, degrees): 4.7109 4.7109 4.7109 60.00 60.00 60.00
Fractional coordinates of all 4 atoms:
Tm (0.0000, 0.0000, 0.0000)
Zn (0.2500, 0.2500, 0.2500)
Sn (0.7500, 0.7500, 0.7500)
Ru (0.5000, 0.5000, 0.5000)

=====

# 2
Material: Sr2ZnRe
Method: DFT, GGA-PBE
State: optimized geometry

Values from the calculation:
magnetic moment = 0.68 μB/f.u.
DFT total energy = -2.980 eV per atom

Lattice parameters (Å, degrees): 10.9531 10.9531 10.9531 156.53 156.53 33.43
Fractional coordinates of all 8 atoms:
Sr (0.1216, 0.6250, 0.9966)
Sr (0.3750, 0.3716, 0.4966)
Sr (0.6284, 0.1250, 0.0034)
Sr (0.8750, 0.8784, 0.5034)
Zn (0.2500, 0.7500, 0.5000)
Zn (0.5000, 0.5000, 0.0000)
Re (0.0000, 0.0000, 0.0000)
Re (0.7500, 0.2500, 0.5000)

=====

# 3
Material: Zr3BiIr
Method: DFT, GGA-PBE
State: optimized geometry

Values from the calculation:
magnetic moment = 0.00 μB/f.u.
excess energy over the best structure of this formula in the dataset = 152.9 kJ/mol of atoms

Lattice parameters (Å, degrees): 5.2702 5.2702 5.2702 90.00 90.00 90.00
Fractional coordinates of all 5 atoms:
Zr (0.0000, 0.0000, 0.5000)
Zr (0.0000, 0.5000, 0.0000)
Zr (0.5000, 0.0000, 0.0000)
Bi (0.0000, 0.0000, 0.0000)
Ir (0.5000, 0.5000, 0.5000)

=====

# 4
Material: CoSb3S
Method: DFT, GGA-PBE
State: optimized geometry

Values from the calculation:
magnetic moment = 1.72 μB/f.u.
excess energy over the best structure of this formula in the dataset = 59.9 kJ/mol of atoms
ΔE_f (raw) = 1.020 eV per atom

Lattice parameters (Å, degrees): 5.1410 5.1410 5.1410 90.00 90.00 90.00
Fractional coordinates of all 5 atoms:
Co (0.0000, 0.0000, 0.0000)
Sb (0.0000, 0.5000, 0.5000)
Sb (0.5000, 0.0000, 0.5000)
Sb (0.5000, 0.5000, 0.0000)
S (0.5000, 0.5000, 0.5000)

=====

# 5
Material: Ba3Ni5H12
Method: DFT, GGA-PBE
State: optimized geometry

Values from the calculation:
magnetic moment = 0.00 μB/f.u.
DFT total energy = -3.805 eV per atom

Lattice parameters (Å, degrees): 10.4751 10.4751 10.4751 109.47 109.47 109.47
Fractional coordinates of all 80 atoms:
Ba (0.1250, 0.2500, 0.3750)
Ba (0.1250, 0.3750, 0.7500)
Ba (0.2500, 0.3750, 0.1250)
Ba (0.2500, 0.8750, 0.6250)
Ba (0.3750, 0.1250, 0.2500)
Ba (0.3750, 0.7500, 0.1250)
Ba (0.6250, 0.2500, 0.8750)
Ba (0.6250, 0.8750, 0.7500)
Ba (0.7500, 0.1250, 0.3750)
Ba (0.7500, 0.6250, 0.8750)
Ba (0.8750, 0.6250, 0.2500)
Ba (0.8750, 0.7500, 0.6250)
Ni (0.0000, 0.0000, 0.0000)
Ni (0.0000, 0.0000, 0.5000)
Ni (0.0000, 0.5000, 0.0000)
Ni (0.0000, 0.5000, 0.5000)
Ni (0.1250, 0.7500, 0.8750)
Ni (0.1250, 0.8750, 0.2500)
Ni (0.2500, 0.1250, 0.8750)
Ni (0.2500, 0.6250, 0.3750)
Ni (0.3750, 0.2500, 0.6250)
Ni (0.3750, 0.6250, 0.7500)
Ni (0.5000, 0.0000, 0.0000)
Ni (0.5000, 0.0000, 0.5000)
Ni (0.5000, 0.5000, 0.0000)
Ni (0.5000, 0.5000, 0.5000)
Ni (0.6250, 0.3750, 0.2500)
Ni (0.6250, 0.7500, 0.3750)
Ni (0.7500, 0.3750, 0.6250)
Ni (0.7500, 0.8750, 0.1250)
Ni (0.8750, 0.1250, 0.7500)
Ni (0.8750, 0.2500, 0.1250)
H (0.0228, 0.6829, 0.1022)
H (0.0228, 0.8399, 0.9206)
H (0.0794, 0.6022, 0.9193)
H (0.0794, 0.9772, 0.1601)
H (0.0807, 0.6601, 0.6829)
H (0.0807, 0.9206, 0.3978)
H (0.1022, 0.0228, 0.6829)
H (0.1022, 0.5794, 0.4193)
H (0.1601, 0.0794, 0.9772)
H (0.1601, 0.5807, 0.1829)
H (0.1829, 0.1601, 0.5807)
H (0.1829, 0.5228, 0.6022)
H (0.3171, 0.8978, 0.9772)
H (0.3171, 0.9193, 0.3399)
H (0.3399, 0.3171, 0.9193)
H (0.3399, 0.5228, 0.4206)
H (0.3978, 0.0807, 0.9206)
H (0.3978, 0.8171, 0.4772)
H (0.4193, 0.1022, 0.5794)
H (0.4193, 0.8171, 0.8399)
H (0.4206, 0.3399, 0.5228)
H (0.4206, 0.5807, 0.8978)
H (0.4772, 0.3978, 0.8171)
H (0.4772, 0.5794, 0.6601)
H (0.5228, 0.4206, 0.3399)
H (0.5228, 0.6022, 0.1829)
H (0.5794, 0.4193, 0.1022)
H (0.5794, 0.6601, 0.4772)
H (0.5807, 0.1829, 0.1601)
H (0.5807, 0.8978, 0.4206)
H (0.6022, 0.1829, 0.5228)
H (0.6022, 0.9193, 0.0794)
H (0.6601, 0.4772, 0.5794)
H (0.6601, 0.6829, 0.0807)
H (0.6829, 0.0807, 0.6601)
H (0.6829, 0.1022, 0.0228)
H (0.8171, 0.4772, 0.3978)
H (0.8171, 0.8399, 0.4193)
H (0.8399, 0.4193, 0.8171)
H (0.8399, 0.9206, 0.0228)
H (0.8978, 0.4206, 0.5807)
H (0.8978, 0.9772, 0.3171)
H (0.9193, 0.0794, 0.6022)
H (0.9193, 0.3399, 0.3171)
H (0.9206, 0.0228, 0.8399)
H (0.9206, 0.3978, 0.0807)
H (0.9772, 0.1601, 0.0794)
H (0.9772, 0.3171, 0.8978)

=====

# 6
Material: Ca3HPb
Method: DFT, GGA-PBE
State: optimized geometry

Values from the calculation:
magnetic moment = 0.00 μB/f.u.
excess energy over the best structure of this formula in the dataset = 67.7 kJ/mol of atoms

Lattice parameters (Å, degrees): 6.0444 6.0444 6.0444 90.00 90.00 90.00
Fractional coordinates of all 5 atoms:
Ca (0.0000, 0.0000, 0.5000)
Ca (0.0000, 0.5000, 0.0000)
Ca (0.5000, 0.0000, 0.0000)
H (0.5000, 0.5000, 0.5000)
Pb (0.0000, 0.0000, 0.0000)

=====

# 7
Material: BeZn3Tc
Method: DFT, GGA-PBE
State: optimized geometry

Values from the calculation:
magnetic moment = 2.21 μB/f.u.
excess energy over the best structure of this formula in the dataset = 0.0 kJ/mol of atoms

Lattice parameters (Å, degrees): 4.1614 4.1614 4.1614 90.00 90.00 90.00
Fractional coordinates of all 5 atoms:
Be (0.0000, 0.0000, 0.0000)
Zn (0.0000, 0.0000, 0.5000)
Zn (0.0000, 0.5000, 0.0000)
Zn (0.5000, 0.0000, 0.0000)
Tc (0.5000, 0.5000, 0.5000)

=====

# 8
Material: KLiPaSe3
Method: DFT, GGA-PBE
State: optimized geometry

Values from the calculation:
magnetic moment = 1.00 μB/f.u.
ΔE_f (raw) = -1.369 eV per atom

Lattice parameters (Å, degrees): 9.2038 4.2308 9.4909 90.00 106.55 90.00
Fractional coordinates of all 12 atoms:
K (0.2030, 0.2500, 0.2513)
K (0.7970, 0.7500, 0.7487)
Li (0.0790, 0.2500, 0.5942)
Li (0.9210, 0.7500, 0.4058)
Pa (0.3252, 0.7500, 0.8445)
Pa (0.6748, 0.2500, 0.1555)
Se (0.1256, 0.2500, 0.8721)
Se (0.2070, 0.7500, 0.5396)
Se (0.4610, 0.7500, 0.1616)
Se (0.5390, 0.2500, 0.8384)
Se (0.7930, 0.2500, 0.4604)
Se (0.8744, 0.7500, 0.1279)

=====

# 9
Material: LiTlS2Cl
Method: DFT, GGA-PBE
State: optimized geometry

Values from the calculation:
magnetic moment = 0.00 μB/f.u.
excess energy over the best structure of this formula in the dataset = 0.0 kJ/mol of atoms
ΔE_f (raw) = -0.133 eV per atom

Lattice parameters (Å, degrees): 4.3533 4.3533 6.5274 90.00 90.00 90.00
Fractional coordinates of all 5 atoms:
Li (0.0000, 0.0000, 0.0000)
Tl (0.5000, 0.5000, 0.5000)
S (0.0000, 0.5000, 0.0000)
S (0.5000, 0.0000, 0.0000)
Cl (0.0000, 0.0000, 0.5000)

=====

# 10
Material: SnBPO2
Method: DFT, GGA-PBE
State: optimized geometry

Values from the calculation:
magnetic moment = 0.21 μB/f.u.
excess energy over the best structure of this formula in the dataset = 0.0 kJ/mol of atoms
ΔE_f (raw) = 0.018 eV per atom

Lattice parameters (Å, degrees): 3.6197 3.6197 4.3197 90.00 90.00 90.00
Fractional coordinates of all 5 atoms:
Sn (0.0000, 0.0000, 0.0000)
B (0.5000, 0.5000, 0.5000)
P (0.5000, 0.5000, 0.0000)
O (0.0000, 0.5000, 0.5000)
O (0.5000, 0.0000, 0.5000)

=====

# 11
Material: Nd4Sm5Cd
Method: DFT, GGA-PBE
State: optimized geometry

Values from the calculation:
magnetic moment = 0.00 μB/f.u.
excess energy over the best structure of this formula in the dataset = 0.0 kJ/mol of atoms

Lattice parameters (Å, degrees): 3.6733 3.6733 24.6057 90.00 90.00 90.00
Fractional coordinates of all 10 atoms:
Nd (0.0000, 0.0000, 0.1044)
Nd (0.0000, 0.0000, 0.3134)
Nd (0.0000, 0.0000, 0.6866)
Nd (0.0000, 0.0000, 0.8956)
Sm (0.5000, 0.5000, 0.0000)
Sm (0.5000, 0.5000, 0.2091)
Sm (0.5000, 0.5000, 0.4165)
Sm (0.5000, 0.5000, 0.5835)
Sm (0.5000, 0.5000, 0.7909)
Cd (0.0000, 0.0000, 0.5000)

=====

# 12
Material: LiErMgNi
Method: DFT, GGA-PBE
State: optimized geometry

Values from the calculation:
magnetic moment = 0.00 μB/f.u.
DFT total energy = -3.607 eV per atom

Lattice parameters (Å, degrees): 4.6877 4.6877 4.6877 60.00 60.00 60.00
Fractional coordinates of all 4 atoms:
Li (0.0000, 0.0000, 0.0000)
Er (0.2500, 0.2500, 0.2500)
Mg (0.7500, 0.7500, 0.7500)
Ni (0.5000, 0.5000, 0.5000)

=====

# 13
Material: Hg2BiH2
Method: DFT, GGA-PBE
State: optimized geometry

Values from the calculation:
magnetic moment = 0.00 μB/f.u.
excess energy over the best structure of this formula in the dataset = 0.0 kJ/mol of atoms

Lattice parameters (Å, degrees): 3.3483 4.7382 8.0626 107.07 101.81 90.19
Fractional coordinates of all 5 atoms:
Hg (0.0000, 0.0000, 0.0000)
Hg (0.3855, 0.3858, 0.7723)
Bi (0.6890, 0.8197, 0.3862)
H (0.6018, 0.4526, 0.2148)
H (0.7721, 0.6252, 0.5581)

=====

# 14
Material: Ho7Sn2Ge2
Method: DFT, GGA-PBE
State: optimized geometry

Values from the calculation:
magnetic moment = 0.00 μB/f.u.
DFT total energy = -4.892 eV per atom

Lattice parameters (Å, degrees): 6.8796 6.8796 6.8934 90.00 90.00 103.77
Fractional coordinates of all 11 atoms:
Ho (0.0000, 0.0000, 0.0000)
Ho (0.0000, 0.5000, 0.2654)
Ho (0.0000, 0.5000, 0.7346)
Ho (0.5000, 0.0000, 0.2654)
Ho (0.5000, 0.0000, 0.7346)
Ho (0.5000, 0.5000, 0.2499)
Ho (0.5000, 0.5000, 0.7501)
Sn (0.1806, 0.1806, 0.5000)
Sn (0.8194, 0.8194, 0.5000)
Ge (0.2757, 0.7243, 0.0000)
Ge (0.7243, 0.2757, 0.0000)

=====

# 15
Material: TiAl4PdRh2
Method: DFT, GGA-PBE
State: optimized geometry

Values from the calculation:
magnetic moment = 0.00 μB/f.u.
DFT total energy = -6.126 eV per atom

Lattice parameters (Å, degrees): 7.5356 7.5356 7.5356 33.42 33.42 33.42
Fractional coordinates of all 8 atoms:
Ti (0.0000, 0.0000, 0.0000)
Al (0.1282, 0.1282, 0.1282)
Al (0.3798, 0.3798, 0.3798)
Al (0.6202, 0.6202, 0.6202)
Al (0.8718, 0.8718, 0.8718)
Pd (0.5000, 0.5000, 0.5000)
Rh (0.2561, 0.2561, 0.2561)
Rh (0.7439, 0.7439, 0.7439)

=====

# 16
Material: BaSrAs3
Method: DFT, GGA-PBE
State: optimized geometry

Values from the calculation:
magnetic moment = 0.00 μB/f.u.
excess energy over the best structure of this formula in the dataset = 0.0 kJ/mol of atoms

Lattice parameters (Å, degrees): 8.5556 8.5556 4.6040 90.00 90.00 118.59
Fractional coordinates of all 10 atoms:
Ba (0.0000, 0.0000, 0.0000)
Ba (0.5000, 0.5000, 0.0000)
Sr (0.0000, 0.5000, 0.0000)
Sr (0.5000, 0.0000, 0.0000)
As (0.1582, 0.3442, 0.5000)
As (0.1901, 0.8099, 0.5000)
As (0.3442, 0.1582, 0.5000)
As (0.6558, 0.8418, 0.5000)
As (0.8099, 0.1901, 0.5000)
As (0.8418, 0.6558, 0.5000)